PBEsol WSN2O, optimized geometry; raw formation energy = 0.328 eV per atom
1.0
4.0111 0.0000 0.0000
0.0000 4.0111 0.0000
0.0000 0.0000 3.7454
W S N O
1 1 2 1
Cartesian
0.0000 0.0000 0.0000 W
2.0055 2.0055 1.8727 S
0.0000 2.0055 0.0000 N
2.0055 0.0000 0.0000 N
0.0000 0.0000 1.8727 O

PBEsol CoAgRu2, optimized geometry; formation enthalpy at 0 K = 0.519 eV/atom
1.0
2.7186 0.0000 0.0000
0.0000 4.4873 0.0000
0.0000 0.0000 9.0248
Co Ag Ru
2 2 4
Cartesian
0.0000 0.0000 0.0000 Co
1.3593 2.2437 0.0000 Co
0.0000 2.2437 2.2852 Ag
1.3593 0.0000 2.2852 Ag
0.0000 0.0000 4.7604 Ru
0.0000 2.2437 6.9527 Ru
1.3593 0.0000 6.9527 Ru
1.3593 2.2437 4.7604 Ru

PBEsol SrHf3Cl, optimized geometry; raw formation energy = 0.196 eV per atom
1.0
4.8956 0.0000 0.0000
0.0000 4.8956 0.0000
0.0000 0.0000 4.8956
Sr Hf Cl
1 3 1
Cartesian
0.0000 0.0000 0.0000 Sr
0.0000 2.4478 2.4478 Hf
2.4478 0.0000 2.4478 Hf
2.4478 2.4478 0.0000 Hf
2.4478 2.4478 2.4478 Cl

PBEsol Y2Te2I, optimized geometry; raw formation energy = -1.384 eV per atom
1.0
8.4142 0.0000 0.0000
0.0000 8.4142 0.0000
0.0000 0.0000 3.9581
Y Te I
4 4 2
Cartesian
1.2551 2.9520 0.0000 Y
2.9520 7.1591 0.0000 Y
5.4622 1.2551 0.0000 Y
7.1591 5.4622 0.0000 Y
1.1981 5.4052 1.9790 Te
3.0090 1.1981 1.9790 Te
5.4052 7.2161 1.9790 Te
7.2161 3.0090 1.9790 Te
0.0000 0.0000 0.0000 I
4.2071 4.2071 0.0000 I

no.,D(E_F) (states/eV/atom)
1,0.5477
2,1.2871
3,1.2251
4,0.2419